(1)
The following is a PBE-GGA calculation of a relaxed GdNiI2 crystal, from Alexandria via LeMat-Bulk.

a b c (Å): 3.956 3.956 9.408
angles (deg): 77.86 77.86 60.00
Sites, in units of the cell vectors:
1 Ni 0.500 0.500 0.500
2 I 0.889 0.889 0.334
3 I 0.111 0.111 0.666
4 Gd 0.000 0.000 0.000

Space-group type: R-3m, No. 166
Uncorrected formation energy, meV per atom: -71
D(E_F), states/eV/cell: 6.8


(2)
The following is a PBE-GGA calculation of a relaxed Gd2NiI crystal, from Alexandria via LeMat-Bulk.

a b c (Å): 4.049 4.049 8.252
angles (deg): 75.80 75.80 60.00
Sites, in units of the cell vectors:
1 Gd 0.727 0.727 0.819
2 Gd 0.273 0.273 0.181
3 Ni 0.000 0.000 0.000
4 I 0.500 0.500 0.500

Space-group type: R-3m, No. 166
Uncorrected formation energy, meV per atom: -690
D(E_F), states/eV/cell: 2.8


(3)
The following is a PBE-GGA calculation of a relaxed GdI3O11 crystal, from Alexandria via LeMat-Bulk.

a b c (Å): 7.148 7.944 10.777
angles (deg): 99.25 103.85 110.33
Sites, in units of the cell vectors:
1 Gd 0.913 0.088 0.712
2 Gd 0.087 0.912 0.288
3 O 0.386 0.462 0.181
4 O 0.867 0.639 0.329
5 O 0.614 0.538 0.819
6 O 0.952 0.888 0.861
7 O 0.305 0.914 0.877
8 O 0.746 0.926 0.270
9 O 0.361 0.584 0.542
10 O 0.431 0.055 0.262
11 O 0.639 0.416 0.458
12 O 0.695 0.086 0.123
13 O 0.685 0.246 0.691
14 O 0.048 0.112 0.139
15 O 0.868 0.799 0.574
16 O 0.132 0.201 0.426
17 O 0.133 0.361 0.671
18 O 0.712 0.073 0.499
19 O 0.288 0.927 0.501
20 O 0.084 0.285 0.930
21 O 0.254 0.074 0.730
22 O 0.916 0.715 0.070
23 O 0.569 0.945 0.738
24 O 0.315 0.754 0.309
25 I 0.673 0.636 0.414
26 I 0.720 0.145 0.345
27 I 0.327 0.364 0.586
28 I 0.247 0.234 0.064
29 I 0.753 0.766 0.936
30 I 0.280 0.855 0.655

Space-group type: P-1, No. 2
Uncorrected formation energy, meV per atom: -504


(4)
The following is a PBE-GGA calculation of a relaxed GdI3O9 crystal, from Alexandria via LeMat-Bulk.

a b c (Å): 6.169 8.862 16.845
angles (deg): 65.46 90.00 90.00
Sites, in units of the cell vectors:
1 O 0.426 0.144 0.943
2 O 0.622 0.371 0.985
3 O 0.053 0.441 0.188
4 O 0.414 0.837 0.613
5 O 0.122 0.629 0.515
6 O 0.926 0.856 0.557
7 O 0.878 0.371 0.485
8 O 0.609 0.405 0.170
9 O 0.574 0.856 0.057
10 O 0.586 0.163 0.387
11 O 0.374 0.387 0.470
12 O 0.391 0.595 0.830
13 O 0.826 0.844 0.244
14 O 0.891 0.405 0.670
15 O 0.109 0.595 0.330
16 O 0.447 0.441 0.688
17 O 0.126 0.387 0.970
18 O 0.378 0.629 0.015
19 O 0.947 0.559 0.812
20 O 0.477 0.107 0.117
21 O 0.074 0.144 0.443
22 O 0.523 0.893 0.883
23 O 0.014 0.134 0.133
24 O 0.326 0.156 0.256
25 O 0.514 0.866 0.367
26 O 0.086 0.837 0.113
27 O 0.986 0.866 0.867
28 O 0.626 0.613 0.530
29 O 0.486 0.134 0.633
30 O 0.914 0.163 0.887
31 O 0.674 0.844 0.744
32 O 0.977 0.893 0.383
33 O 0.023 0.107 0.617
34 O 0.553 0.559 0.312
35 O 0.174 0.156 0.756
36 O 0.874 0.613 0.030
37 I 0.313 0.427 0.357
38 I 0.644 0.143 0.020
39 I 0.596 0.083 0.303
40 I 0.187 0.427 0.857
41 I 0.687 0.573 0.643
42 I 0.856 0.143 0.520
43 I 0.904 0.083 0.803
44 I 0.404 0.917 0.697
45 I 0.096 0.917 0.197
46 I 0.356 0.857 0.980
47 I 0.144 0.857 0.480
48 I 0.813 0.573 0.143
49 Gd 0.213 0.353 0.604
50 Gd 0.713 0.647 0.896
51 Gd 0.287 0.353 0.104
52 Gd 0.787 0.647 0.396

Space-group type: P2_1/c, No. 14
Uncorrected formation energy, meV per atom: -981
Energy relative to the lowest polymorph listed for this composition, meV per atom: 0.0
D(E_F), states/eV/cell: 0.0


(5)
The following is a PBE-GGA calculation of a relaxed GdIO crystal, from Alexandria via LeMat-Bulk.

a b c (Å): 8.400 7.342 7.015
angles (deg): 71.57 56.03 52.40
Sites, in units of the cell vectors:
1 I 0.125 0.125 0.625
2 I 0.625 0.125 0.125
3 I 0.125 0.625 0.125
4 I 0.125 0.125 0.125
5 Gd 0.898 0.602 0.898
6 Gd 0.352 0.648 0.352
7 Gd 0.602 0.898 0.602
8 Gd 0.648 0.352 0.648
9 O 0.385 0.385 0.615
10 O 0.615 0.615 0.385
11 O 0.635 0.635 0.865
12 O 0.865 0.865 0.635

Space-group type: Fddd, No. 70
Uncorrected formation energy, meV per atom: -2200


(6)
The following is a PBE-GGA calculation of a relaxed GdIO crystal, from Alexandria via LeMat-Bulk.

a b c (Å): 3.899 3.899 5.256
angles (deg): 90.00 90.00 120.00
Sites, in units of the cell vectors:
1 O 0.333 0.667 0.500
2 Gd 0.667 0.333 0.500
3 I 0.000 0.000 0.000

Space-group type: P-6m2, No. 187
Uncorrected formation energy, meV per atom: -2421


(7)
The following is a PBE-GGA calculation of a relaxed GdI3O9 crystal, from Alexandria via LeMat-Bulk.

a b c (Å): 7.311 8.691 13.622
angles (deg): 90.00 99.53 90.00
Sites, in units of the cell vectors:
1 O 0.845 0.798 0.177
2 O 0.339 0.523 0.229
3 O 0.366 0.155 0.048
4 O 0.339 0.977 0.729
5 O 0.661 0.023 0.271
6 O 0.366 0.345 0.548
7 O 0.016 0.482 0.885
8 O 0.221 0.718 0.823
9 O 0.683 0.415 0.983
10 O 0.779 0.218 0.677
11 O 0.024 0.669 0.491
12 O 0.152 0.018 0.180
13 O 0.155 0.298 0.323
14 O 0.976 0.169 0.009
15 O 0.469 0.819 0.141
16 O 0.469 0.681 0.641
17 O 0.221 0.782 0.323
18 O 0.848 0.518 0.320
19 O 0.317 0.915 0.517
20 O 0.661 0.477 0.771
21 O 0.683 0.085 0.483
22 O 0.779 0.282 0.177
23 O 0.848 0.982 0.820
24 O 0.976 0.331 0.509
25 O 0.016 0.018 0.385
26 O 0.634 0.845 0.952
27 O 0.634 0.655 0.452
28 O 0.155 0.202 0.823
29 O 0.024 0.831 0.991
30 O 0.152 0.482 0.680
31 O 0.984 0.518 0.115
32 O 0.984 0.982 0.615
33 O 0.317 0.585 0.017
34 O 0.531 0.319 0.359
35 O 0.531 0.181 0.859
36 O 0.845 0.702 0.677
37 I 0.334 0.447 0.354
38 I 0.666 0.553 0.646
39 I 0.830 0.697 0.389
40 I 0.259 0.969 0.386
41 I 0.741 0.031 0.614
42 I 0.334 0.053 0.854
43 I 0.741 0.469 0.114
44 I 0.259 0.531 0.886
45 I 0.830 0.803 0.889
46 I 0.666 0.947 0.146
47 I 0.170 0.197 0.111
48 I 0.170 0.303 0.611
49 Gd 0.171 0.737 0.144
50 Gd 0.171 0.763 0.644
51 Gd 0.829 0.237 0.356
52 Gd 0.829 0.263 0.856

Space-group type: P2_1/c, No. 14
Uncorrected formation energy, meV per atom: -971
Energy relative to the lowest polymorph listed for this composition, meV per atom: 10.2
D(E_F), states/eV/cell: 0.0


(8)
The following is a PBE-GGA calculation of a relaxed Gd2PbI crystal, from Alexandria via LeMat-Bulk.

a b c (Å): 4.578 4.578 7.633
angles (deg): 72.55 72.55 60.00
Sites, in units of the cell vectors:
1 Pb 0.000 0.000 0.000
2 I 0.500 0.500 0.500
3 Gd 0.258 0.258 0.227
4 Gd 0.742 0.742 0.773

Space-group type: R-3m, No. 166
Uncorrected formation energy, meV per atom: -692
Energy relative to the lowest polymorph listed for this composition, meV per atom: 0.0
D(E_F), states/eV/cell: 6.6


(9)
The following is a PBE-GGA calculation of a relaxed Gd2PbI crystal, from Alexandria via LeMat-Bulk.

a b c (Å): 3.767 3.767 8.231
angles (deg): 90.00 90.00 90.00
Sites, in units of the cell vectors:
1 Pb 0.500 0.500 0.000
2 Gd 0.000 0.000 0.242
3 Gd 0.000 0.000 0.758
4 I 0.500 0.500 0.500

Space-group type: P4/mmm, No. 123
Uncorrected formation energy, meV per atom: -625
Energy relative to the lowest polymorph listed for this composition, meV per atom: 67.6
D(E_F), states/eV/cell: 6.8


(10)
The following is a PBE-GGA calculation of a relaxed PmGdPbI crystal, from Alexandria via LeMat-Bulk.

a b c (Å): 5.536 5.536 5.536
angles (deg): 60.00 60.00 60.00
Sites, in units of the cell vectors:
1 Pm 0.500 0.500 0.500
2 Gd 0.000 0.000 0.000
3 I 0.750 0.750 0.750
4 Pb 0.250 0.250 0.250

Space-group type: F-43m, No. 216
Uncorrected formation energy, meV per atom: -612
D(E_F), states/eV/cell: 5.0


(11)
The following is a PBE-GGA calculation of a relaxed PmGdSbI crystal, from Alexandria via LeMat-Bulk.

a b c (Å): 5.468 5.468 5.468
angles (deg): 60.00 60.00 60.00
Sites, in units of the cell vectors:
1 Sb 0.000 0.000 0.000
2 Gd 0.750 0.750 0.750
3 Pm 0.250 0.250 0.250
4 I 0.500 0.500 0.500

Space-group type: F-43m, No. 216
Uncorrected formation energy, meV per atom: -935
D(E_F), states/eV/cell: 5.0


(12)
The following is a PBE-GGA calculation of a relaxed PmGdSnI crystal, from Alexandria via LeMat-Bulk.

a b c (Å): 5.494 5.494 5.494
angles (deg): 60.00 60.00 60.00
Sites, in units of the cell vectors:
1 Gd 0.250 0.250 0.250
2 I 0.000 0.000 0.000
3 Pm 0.750 0.750 0.750
4 Sn 0.500 0.500 0.500

Space-group type: F-43m, No. 216
Uncorrected formation energy, meV per atom: -705
D(E_F), states/eV/cell: 4.2


(13)
The following is a PBE-GGA calculation of a relaxed PmGdTlI crystal, from Alexandria via LeMat-Bulk.

a b c (Å): 5.510 5.510 5.510
angles (deg): 60.00 60.00 60.00
Sites, in units of the cell vectors:
1 Gd 0.750 0.750 0.750
2 Pm 0.250 0.250 0.250
3 I 0.500 0.500 0.500
4 Tl 0.000 0.000 0.000

Space-group type: F-43m, No. 216
Uncorrected formation energy, meV per atom: -466
D(E_F), states/eV/cell: 2.5


(14)
The following is a PBE-GGA calculation of a relaxed PrGd2I crystal, from Alexandria via LeMat-Bulk.

a b c (Å): 3.713 3.713 9.682
angles (deg): 90.00 90.00 90.00
Sites, in units of the cell vectors:
1 I 0.500 0.500 0.000
2 Gd 0.000 0.000 0.240
3 Gd 0.000 0.000 0.760
4 Pr 0.500 0.500 0.500

Space-group type: P4/mmm, No. 123
Uncorrected formation energy, meV per atom: -326
Energy relative to the lowest polymorph listed for this composition, meV per atom: 60.5
D(E_F), states/eV/cell: 6.3


(15)
The following is a PBE-GGA calculation of a relaxed PrGdI2 crystal, from Alexandria via LeMat-Bulk.

a b c (Å): 3.951 3.951 11.164
angles (deg): 79.81 79.81 60.00
Sites, in units of the cell vectors:
1 Gd 0.000 0.000 0.000
2 I 0.904 0.904 0.288
3 I 0.096 0.096 0.712
4 Pr 0.500 0.500 0.500

Space-group type: R-3m, No. 166
Uncorrected formation energy, meV per atom: -754
D(E_F), states/eV/cell: 6.4


(16)
The following is a PBE-GGA calculation of a relaxed PrGd2I crystal, from Alexandria via LeMat-Bulk.

a b c (Å): 3.803 3.803 10.884
angles (deg): 79.94 79.94 60.00
Sites, in units of the cell vectors:
1 Gd 0.744 0.744 0.767
2 Gd 0.256 0.256 0.233
3 I 0.000 0.000 0.000
4 Pr 0.500 0.500 0.500

Space-group type: R-3m, No. 166
Uncorrected formation energy, meV per atom: -386
Energy relative to the lowest polymorph listed for this composition, meV per atom: 0.0
D(E_F), states/eV/cell: 6.6


(17)
The following is a PBE-GGA calculation of a relaxed PrGdTeI crystal, from Alexandria via LeMat-Bulk.

a b c (Å): 5.467 5.467 5.467
angles (deg): 60.00 60.00 60.00
Sites, in units of the cell vectors:
1 Te 0.250 0.250 0.250
2 Pr 0.500 0.500 0.500
3 Gd 0.000 0.000 0.000
4 I 0.750 0.750 0.750

Space-group type: F-43m, No. 216
Uncorrected formation energy, meV per atom: -1079
D(E_F), states/eV/cell: 5.7


(18)
The following is a PBE-GGA calculation of a relaxed Gd2PtI crystal, from Alexandria via LeMat-Bulk.

a b c (Å): 4.179 4.179 8.304
angles (deg): 75.43 75.43 60.00
Sites, in units of the cell vectors:
1 I 0.500 0.500 0.500
2 Pt 0.000 0.000 0.000
3 Gd 0.729 0.729 0.813
4 Gd 0.271 0.271 0.187

Space-group type: R-3m, No. 166
Uncorrected formation energy, meV per atom: -1148
D(E_F), states/eV/cell: 4.6


(19)
The following is a PBE-GGA calculation of a relaxed RbGdI2 crystal, from Alexandria via LeMat-Bulk.

a b c (Å): 4.218 4.218 10.222
angles (deg): 78.09 78.09 60.00
Sites, in units of the cell vectors:
1 I 0.263 0.263 0.211
2 I 0.737 0.737 0.789
3 Rb 0.500 0.500 0.500
4 Gd 0.000 0.000 0.000

Space-group type: R-3m, No. 166
Uncorrected formation energy, meV per atom: -966
Energy relative to the lowest polymorph listed for this composition, meV per atom: 0.0
D(E_F), states/eV/cell: 4.9


(20)
The following is a PBE-GGA calculation of a relaxed Rb2GdI4 crystal, from Alexandria via LeMat-Bulk.

a b c (Å): 6.141 6.141 10.318
angles (deg): 72.69 72.69 90.00
Sites, in units of the cell vectors:
1 I 0.500 0.000 0.000
2 I 0.832 0.832 0.336
3 I 0.168 0.168 0.664
4 I 0.000 0.500 0.000
5 Gd 0.000 0.000 0.000
6 Rb 0.638 0.638 0.725
7 Rb 0.362 0.362 0.275

Space-group type: I4/mmm, No. 139
Uncorrected formation energy, meV per atom: -1321
D(E_F), states/eV/cell: 8.2


(21)
The following is a PBE-GGA calculation of a relaxed RbGdI3 crystal, from Alexandria via LeMat-Bulk.

a b c (Å): 6.183 6.183 6.183
angles (deg): 90.00 90.00 90.00
Sites, in units of the cell vectors:
1 Rb 0.500 0.500 0.500
2 I 0.500 0.000 0.000
3 I 0.000 0.000 0.500
4 I 0.000 0.500 0.000
5 Gd 0.000 0.000 0.000

Space-group type: Pm-3m, No. 221
Uncorrected formation energy, meV per atom: -1265
D(E_F), states/eV/cell: 6.6


(22)
The following is a PBE-GGA calculation of a relaxed RbGdI2 crystal, from Alexandria via LeMat-Bulk.

a b c (Å): 3.970 3.970 8.838
angles (deg): 90.00 90.00 90.00
Sites, in units of the cell vectors:
1 I 0.000 0.000 0.792
2 I 0.000 0.000 0.208
3 Rb 0.500 0.500 0.500
4 Gd 0.500 0.500 0.000

Space-group type: P4/mmm, No. 123
Uncorrected formation energy, meV per atom: -927
Energy relative to the lowest polymorph listed for this composition, meV per atom: 38.7
D(E_F), states/eV/cell: 4.9